# 1
TlTc3Au: optimized geometry, PBE.

VASP energy (eV for the cell shown): -26.39
Energy above the lowest structure with this stoichiometry (meV/atom): 0
Symmetry: Pm-3m, No. 221
Energy relative to the elements (kJ/mol of atoms): 199.71

Cell lengths 4.969, 4.969, 4.969 Å; angles 90.00, 90.00, 90.00 degrees
Fractional coordinates of all 5 atoms:
Tl1 0.000 0.000 0.000
Tc1 0.000 0.500 0.500
Tc2 0.500 0.000 0.500
Tc3 0.500 0.500 0.000
Au1 0.500 0.500 0.500



# 2
LiZr2Tl: optimized geometry, PBE.

VASP energy (eV for the cell shown): -21.31
Symmetry: Cm, No. 8
Energy relative to the elements (kJ/mol of atoms): 1.70

Cell lengths 5.498, 5.498, 5.274 Å; angles 109.83, 109.83, 35.03 degrees
Fractional coordinates of all 4 atoms:
Li1 0.000 0.000 0.000
Zr1 0.509 0.509 0.504
Zr2 0.756 0.756 0.361
Tl1 0.270 0.270 0.876



# 3
Er2ZrAg: optimized geometry, PBE.

VASP energy (eV for the cell shown): -20.48
Energy above the lowest structure with this stoichiometry (meV/atom): 147
Symmetry: R3m, No. 160
Energy relative to the elements (kJ/mol of atoms): 1.01

Cell lengths 10.277, 10.277, 10.277 Å; angles 19.16, 19.16, 19.16 degrees
Fractional coordinates of all 4 atoms:
Er1 0.000 0.000 0.000
Er2 0.173 0.173 0.173
Zr1 0.753 0.753 0.753
Ag1 0.587 0.587 0.587